Here is a relaxed structure of RbSm2Cu3Se5 from OQMD via LeMat-Bulk. Energies are from PBE.

Computed properties:
E_tot (hartree per atom): -0.1715

a = 7.6199 Å, b = 7.6199 Å, c = 17.5244 Å
α = 90.00°, β = 90.00°, γ = 148.16°
With the nearest neighbours (Å) after each atom.
Sites, in units of the cell vectors:
Cu 0.5846 0.4154 0.4712  4 Se 2.50-2.56, 1 Cu 2.68
Se 0.1633 0.8367 0.4281  2 Cu 2.50
Cu 0.4154 0.5846 0.5288  4 Se 2.50-2.56, 1 Cu 2.68
Sm 0.8086 0.1914 0.4088  6 Se 2.88-3.00
Cu 0.5846 0.4154 0.0288  4 Se 2.50-2.56, 1 Cu 2.68
Cu 0.4154 0.5846 0.9712  4 Se 2.50-2.56, 1 Cu 2.68
Sm 0.1914 0.8086 0.5912  6 Se 2.88-3.00
Se 0.1633 0.8367 0.0719  2 Cu 2.50
Se 0.2405 0.7595 0.7500  2 Cu 2.40
Cu 0.6595 0.3405 0.7500  2 Se 2.40
Se 0.4430 0.5570 0.1144  3 Cu 2.54-2.81
Se 0.7595 0.2405 0.2500  2 Cu 2.40
Cu 0.3405 0.6595 0.2500  2 Se 2.40
Sm 0.8086 0.1914 0.0912  6 Se 2.88-3.00
Se 0.5570 0.4430 0.6144  3 Cu 2.54-2.81
Se 0.5570 0.4430 0.8856  3 Cu 2.54-2.81
Rb 0.9369 0.0631 0.7500  8 Se 3.45-3.62
Se 0.8367 0.1633 0.9281  2 Cu 2.50
Se 0.8367 0.1633 0.5719  2 Cu 2.50
Sm 0.1914 0.8086 0.9088  6 Se 2.88-3.00
Rb 0.0631 0.9369 0.2500  8 Se 3.45-3.62
Se 0.4430 0.5570 0.3856  3 Cu 2.54-2.81